This record from Alexandria via LeMat-Bulk describes a relaxed structure of Cd2SbMo. The functional is GGA-PBE.

Unit cell a=3.612 b=3.612 c=6.259 alpha=90.00 beta=90.00 gamma=90.00
Last column: magnetic moment on the atom in μB.
Sites, in units of the cell vectors:
Cd1 0.000 0.000 0.015  0.00
Cd2 0.500 0.500 0.251  0.00
Mo1 0.000 0.000 0.520  0.09
Sb1 0.500 0.500 0.715  0.00

- density (g/cm3) = 9.00
- final energy (eV per cell) = -15.85

This record from Alexandria via LeMat-Bulk describes a relaxed structure of Pr12In4SnN3. The functional is GGA-PBE.

Unit cell a=9.159 b=9.159 c=9.159 alpha=109.47 beta=109.47 gamma=109.47
Sites, in units of the cell vectors:
Pr1 0.500 0.750 0.250
Pr2 0.000 0.724 0.724
Pr3 0.724 0.724 0.000
Pr4 0.000 0.276 0.276
Pr5 0.750 0.500 0.250
Pr6 0.276 0.000 0.276
Pr7 0.750 0.250 0.500
Pr8 0.724 0.000 0.724
Pr9 0.250 0.750 0.500
Pr10 0.276 0.276 0.000
Pr11 0.500 0.250 0.750
Pr12 0.250 0.500 0.750
N1 0.500 0.500 0.000
N2 0.500 0.000 0.500
N3 0.000 0.500 0.500
In1 0.500 0.000 0.000
In2 0.500 0.500 0.500
In3 0.000 0.500 0.000
In4 0.000 0.000 0.500
Sn1 0.000 0.000 0.000

- density (g/cm3) = 6.49
- final energy (eV per cell) = -108.75

Which value of final energy does entry 2 give? -108.75 eV per cell